Crystalline NaZrZn2N at its relaxed geometry. Source: Alexandria, functional PBE-GGA.

Space-group type: P4/mmm, No. 123
Polymorph energy (0 for the lowest one) in eV per formula unit: 0.00

Cell: 4.603 4.603 4.115 Å, 90.00 90.00 90.00°
Sites, in units of the cell vectors:
Na (0.000, 0.000, 0.000)
Zr (0.500, 0.500, 0.500)
Zn (0.000, 0.500, 0.000)
Zn (0.500, 0.000, 0.000)
N (0.000, 0.000, 0.500)

Crystalline NaZrZn2N at its relaxed geometry. Source: Alexandria, functional PBE-GGA.

Space-group type: P4/mmm, No. 123
Polymorph energy (0 for the lowest one) in eV per formula unit: 5.16

Cell: 5.260 5.260 6.177 Å, 90.00 90.00 90.00°
Sites, in units of the cell vectors:
Na (0.000, 0.000, 0.000)
Zr (0.000, 0.000, 0.500)
Zn (0.000, 0.500, 0.500)
Zn (0.500, 0.000, 0.500)
N (0.500, 0.500, 0.000)

Crystalline NaZrN2 at its relaxed geometry. Source: Alexandria, functional PBE-GGA.

Space-group type: I-42d, No. 122

Cell: 6.195 6.195 6.195 Å, 127.85 127.85 76.87°
Sites, in units of the cell vectors:
Na (0.000, 0.000, 0.000)
Na (0.750, 0.250, 0.500)
Zr (0.250, 0.750, 0.500)
Zr (0.500, 0.500, 0.000)
N (0.194, 0.625, 0.069)
N (0.375, 0.444, 0.569)
N (0.556, 0.125, 0.931)
N (0.875, 0.806, 0.431)

Crystalline NaZr4N5 at its relaxed geometry. Source: Alexandria, functional PBE-GGA.

Space-group type: Immm, No. 71

Cell: 8.752 8.752 8.752 Å, 158.48 149.68 37.49°
Sites, in units of the cell vectors:
Na (0.000, 0.000, 0.000)
Zr (0.199, 0.199, 0.000)
Zr (0.405, 0.405, 0.000)
Zr (0.595, 0.595, 0.000)
Zr (0.801, 0.801, 0.000)
N (0.112, 0.612, 0.500)
N (0.302, 0.802, 0.500)
N (0.500, 0.000, 0.500)
N (0.698, 0.198, 0.500)
N (0.888, 0.388, 0.500)

Crystalline NaZr3N at its relaxed geometry. Source: Alexandria, functional PBE-GGA.

Space-group type: Pm-3m, No. 221
Polymorph energy (0 for the lowest one) in eV per formula unit: 13.74

Cell: 4.910 4.910 4.910 Å, 90.00 90.00 90.00°
Sites, in units of the cell vectors:
Na (0.000, 0.000, 0.000)
Zr (0.000, 0.000, 0.500)
Zr (0.000, 0.500, 0.000)
Zr (0.500, 0.000, 0.000)
N (0.500, 0.500, 0.500)

Crystalline NaZr3N at its relaxed geometry. Source: Alexandria, functional PBE-GGA.

Space-group type: Pm-3m, No. 221
Polymorph energy (0 for the lowest one) in eV per formula unit: 0.00

Cell: 4.582 4.582 4.582 Å, 90.00 90.00 90.00°
Sites, in units of the cell vectors:
Na (0.000, 0.000, 0.000)
Zr (0.000, 0.500, 0.500)
Zr (0.500, 0.000, 0.500)
Zr (0.500, 0.500, 0.000)
N (0.500, 0.500, 0.500)

Crystalline NaZr2N3 at its relaxed geometry. Source: Alexandria, functional PBE-GGA.

Space-group type: P2_1/m, No. 11

Cell: 5.719 3.289 8.519 Å, 90.00 104.20 90.00°
Sites, in units of the cell vectors:
Na (0.025, 0.250, 0.342)
Na (0.975, 0.750, 0.658)
Zr (0.246, 0.250, 0.993)
Zr (0.485, 0.250, 0.662)
Zr (0.515, 0.750, 0.338)
Zr (0.754, 0.750, 0.007)
N (0.153, 0.750, 0.141)
N (0.307, 0.750, 0.515)
N (0.381, 0.750, 0.849)
N (0.619, 0.250, 0.151)
N (0.693, 0.250, 0.485)
N (0.847, 0.250, 0.859)

Crystalline NaZrN2 at its relaxed geometry. Source: Alexandria, functional PBE-GGA.

Space-group type: Fm-3m, No. 225

Cell: 3.966 3.966 3.966 Å, 60.00 60.00 60.00°
Sites, in units of the cell vectors:
Na (0.000, 0.000, 0.000)
Zr (0.500, 0.500, 0.500)
N (0.250, 0.250, 0.250)
N (0.750, 0.750, 0.750)

Calculated raw total energy (eV/atom), listed in the same order as above: -3.051, -2.020, -7.117, -9.160, -4.631, -7.380, -8.465, -6.717